#a
Below is a relaxed structure of Be3RhCl, with properties calculated at the PBE level.

As for the total magnetization: 0.0 μB/f.u.

It has space group Pm-3m (No. 221), with a = 3.9839 Å, b = 3.9839 Å, c = 3.9839 Å, α = 90.00°, β = 90.00° and γ = 90.00°. The distinct sites, in fractional coordinates, are Be at (0.0000, 0.0000, 0.5000), Rh at (0.5000, 0.5000, 0.5000) and Cl at (0.0000, 0.0000, 0.0000).

#b
Below is a relaxed structure of Be3RhCl, with properties calculated at the PBE level.

As for the total magnetization: 0.0 μB/f.u.

It has space group Pm-3m (No. 221), with a = 4.3072 Å, b = 4.3072 Å, c = 4.3072 Å, α = 90.00°, β = 90.00° and γ = 90.00°. The distinct sites, in fractional coordinates, are Be at (0.0000, 0.0000, 0.5000), Rh at (0.0000, 0.0000, 0.0000) and Cl at (0.5000, 0.5000, 0.5000).

Relative to the most stable one, in meV/atom, the structures come out at #a 425; #b 0.

#a
Below is a relaxed structure of BeRhCl3, with properties calculated at the PBE level.

As for the total magnetization: 2.0 μB/f.u.

It has space group Pm-3m (No. 221), with a = 4.4875 Å, b = 4.4875 Å, c = 4.4875 Å, α = 90.00°, β = 90.00° and γ = 90.00°. The distinct sites, in fractional coordinates, are Be at (0.0000, 0.0000, 0.0000), Rh at (0.5000, 0.5000, 0.5000) and Cl at (0.0000, 0.0000, 0.5000).

#b
Below is a relaxed structure of BeRhCl3, with properties calculated at the PBE level.

As for the total magnetization: 0.5 μB/f.u.

It has space group Pm-3m (No. 221), with a = 4.7801 Å, b = 4.7801 Å, c = 4.7801 Å, α = 90.00°, β = 90.00° and γ = 90.00°. The distinct sites, in fractional coordinates, are Be at (0.0000, 0.0000, 0.0000), Rh at (0.5000, 0.5000, 0.5000) and Cl at (0.0000, 0.5000, 0.5000).

Relative to the most stable one, in meV/atom, the structures come out at #a 0; #b 303.

#a
Below is a relaxed structure of BeRhS2Cl, with properties calculated at the PBE level.

As for the total magnetization: 0.0 μB/f.u.

It has space group P4/mmm (No. 123), with a = 4.6302 Å, b = 4.6302 Å, c = 4.7498 Å, α = 90.00°, β = 90.00° and γ = 90.00°. The distinct sites, in fractional coordinates, are Be at (0.0000, 0.0000, 0.0000), Rh at (0.5000, 0.5000, 0.5000), S at (0.0000, 0.5000, 0.5000) and Cl at (0.5000, 0.5000, 0.0000).

#b
Below is a relaxed structure of BeRhS2Cl, with properties calculated at the PBE level.

As for the total magnetization: 0.6 μB/f.u.

It has space group P4/mmm (No. 123), with a = 4.3851 Å, b = 4.3851 Å, c = 4.1526 Å, α = 90.00°, β = 90.00° and γ = 90.00°. The distinct sites, in fractional coordinates, are Be at (0.0000, 0.0000, 0.0000), Rh at (0.5000, 0.5000, 0.5000), S at (0.0000, 0.5000, 0.0000) and Cl at (0.0000, 0.0000, 0.5000).

Relative to the most stable one, in meV/atom, the structures come out at #a 192; #b 0.

#a
Below is a relaxed structure of BeRu2Cl, with properties calculated at the PBE level.

As for the total magnetization: 0.0 μB/f.u.

It has space group Cmmm (No. 65), with a = 2.9199 Å, b = 4.8796 Å, c = 7.6300 Å, α = 90.00°, β = 90.00° and γ = 90.00°. The distinct sites, in fractional coordinates, are Be at (0.0000, 0.0000, 0.0000), Ru at (0.0000, 0.5000, 0.2191) and Cl at (0.0000, 0.0000, 0.5000).

#b
Below is a relaxed structure of BeRu2Cl, with properties calculated at the PBE level.

As for the total magnetization: 0.0 μB/f.u.

It has space group I-42d (No. 122), with a = 5.1671 Å, b = 5.1671 Å, c = 9.8190 Å, α = 90.00°, β = 90.00° and γ = 90.00°. The distinct sites, in fractional coordinates, are Be at (0.0000, 0.0000, 0.0000), Ru at (0.2334, 0.2500, 0.1250) and Cl at (0.0000, 0.0000, 0.5000).

Relative to the most stable one, in meV/atom, the structures come out at #a 0; #b 410.

#a
Below is a relaxed structure of BeRu2Cl, with properties calculated at the PBE level.

As for the total magnetization: 0.0 μB/f.u.

It has space group P4/mmm (No. 123), with a = 2.8674 Å, b = 2.8674 Å, c = 6.5335 Å, α = 90.00°, β = 90.00° and γ = 90.00°. The distinct sites, in fractional coordinates, are Be at (0.0000, 0.0000, 0.0000), Ru at (0.5000, 0.5000, 0.1964) and Cl at (0.0000, 0.0000, 0.5000).

#b
Below is a relaxed structure of BeRu2Cl, with properties calculated at the PBE level.

As for the total magnetization: 0.8 μB/f.u.

It has space group Cmm2 (No. 35), with a = 2.8457 Å, b = 4.8970 Å, c = 8.8987 Å, α = 90.00°, β = 90.00° and γ = 90.00°. The distinct sites, in fractional coordinates, are Be at (0.0000, 0.0000, 0.0000), Ru at (0.0000, 0.0000, 0.5446), Ru at (0.0000, 0.5000, 0.7821) and Cl at (0.0000, 0.5000, 0.1586).

#c
Below is a relaxed structure of BeRu2Cl, with properties calculated at the PBE level.

As for the total magnetization: 0.0 μB/f.u.

It has space group Imm2 (No. 44), with a = 2.8313 Å, b = 4.1075 Å, c = 9.0561 Å, α = 90.00°, β = 90.00° and γ = 90.00°. The distinct sites, in fractional coordinates, are Be at (0.0000, 0.0000, 0.0000), Ru at (0.0000, 0.0000, 0.4959), Ru at (0.0000, 0.5000, 0.2558) and Cl at (0.0000, 0.5000, 0.7730).

Relative to the most stable one, in meV/atom, the structures come out at #a 6; #b 0; #c 227.

#a
Below is a relaxed structure of BeRu2Cl, with properties calculated at the PBE level.

As for the total magnetization: 0.0 μB/f.u.

It has space group C2/m (No. 12), with a = 7.8019 Å, b = 2.8470 Å, c = 4.9528 Å, α = 90.00°, β = 103.57° and γ = 90.00°. The distinct sites, in fractional coordinates, are Be at (0.0000, 0.0000, 0.0000), Ru at (0.2319, 0.5000, 0.2141) and Cl at (0.0000, 0.5000, 0.5000).

#b
Below is a relaxed structure of BeRu2Cl, with properties calculated at the PBE level.

As for the total magnetization: 0.4 μB/f.u.

It has space group F-43m (No. 216), with a = 6.0587 Å, b = 6.0587 Å, c = 6.0587 Å, α = 90.00°, β = 90.00° and γ = 90.00°. The distinct sites, in fractional coordinates, are Be at (0.0000, 0.0000, 0.0000), Ru at (0.0000, 0.0000, 0.5000), Ru at (0.2500, 0.2500, 0.2500) and Cl at (0.2500, 0.2500, 0.7500).

Relative to the most stable one, in meV/atom, the structures come out at #a 0; #b 459.